A plane-wave DFT calculation with GGA-PBE was carried out for a relaxed structure of LiThNp2Te5.

## Properties
Raw formation energy, eV per atom: -0.796

a b c (Å): 9.609 9.609 13.287
angles (deg): 90.00 90.00 153.61
Fractional positions:
Li1 0.053 0.947 0.500
Li2 0.947 0.053 0.000
Th1 0.298 0.702 0.049
Th2 0.702 0.298 0.549
Np1 0.375 0.625 0.345
Np2 0.394 0.606 0.723
Np3 0.606 0.394 0.223
Np4 0.625 0.375 0.845
Te1 0.003 0.997 0.817
Te2 0.131 0.869 0.041
Te3 0.185 0.815 0.381
Te4 0.215 0.785 0.716
Te5 0.452 0.548 0.113
Te6 0.548 0.452 0.613
Te7 0.785 0.215 0.216
Te8 0.815 0.185 0.881
Te9 0.869 0.131 0.541
Te10 0.997 0.003 0.317

***

A plane-wave DFT calculation with GGA-PBE was carried out for a relaxed structure of Li3NpTi2Te6.

## Properties
Raw formation energy, eV per atom: -0.785

a b c (Å): 7.109 7.109 7.435
angles (deg): 99.24 99.24 120.26
Fractional positions:
Li1 0.000 0.000 0.000
Li2 0.345 0.655 0.000
Li3 0.655 0.345 0.000
Np1 0.500 0.500 0.500
Ti1 0.174 0.826 0.500
Ti2 0.826 0.174 0.500
Te1 0.062 0.416 0.253
Te2 0.223 0.223 0.739
Te3 0.416 0.062 0.253
Te4 0.584 0.938 0.747
Te5 0.777 0.777 0.261
Te6 0.938 0.584 0.747

***

A plane-wave DFT calculation with GGA-PBE was carried out for a relaxed structure of LiNp2TlTe4.

## Properties
Raw formation energy, eV per atom: -0.651

a b c (Å): 7.761 7.761 15.771
angles (deg): 90.00 90.00 146.37
Fractional positions:
Li1 0.164 0.836 0.750
Li2 0.836 0.164 0.250
Np1 0.368 0.632 0.063
Np2 0.368 0.632 0.437
Np3 0.632 0.368 0.563
Np4 0.632 0.368 0.937
Tl1 0.113 0.887 0.250
Tl2 0.887 0.113 0.750
Te1 0.000 0.000 0.000
Te2 0.000 0.000 0.500
Te3 0.269 0.731 0.610
Te4 0.269 0.731 0.890
Te5 0.437 0.563 0.250
Te6 0.563 0.437 0.750
Te7 0.731 0.269 0.110
Te8 0.731 0.269 0.390

***

A plane-wave DFT calculation with GGA-PBE was carried out for a relaxed structure of Li2Np3TlTe6.

## Properties
Raw formation energy, eV per atom: -0.680

a b c (Å): 10.299 10.299 9.036
angles (deg): 105.24 105.24 24.84
Fractional positions:
Li1 0.184 0.184 0.338
Li2 0.816 0.816 0.662
Np1 0.168 0.168 0.826
Np2 0.500 0.500 0.500
Np3 0.832 0.832 0.174
Tl1 0.500 0.500 0.000
Te1 0.008 0.008 0.736
Te2 0.327 0.327 0.920
Te3 0.336 0.336 0.426
Te4 0.664 0.664 0.574
Te5 0.673 0.673 0.080
Te6 0.992 0.992 0.264

***

A plane-wave DFT calculation with GGA-PBE was carried out for a relaxed structure of LiNp3Tl4Te8.

## Properties
Raw formation energy, eV per atom: -0.560

a b c (Å): 9.607 9.607 9.607
angles (deg): 55.09 55.09 55.09
Fractional positions:
Li1 0.000 0.000 0.000
Np1 0.000 0.500 0.500
Np2 0.500 0.000 0.500
Np3 0.500 0.500 0.000
Tl1 0.000 0.000 0.500
Tl2 0.000 0.500 0.000
Tl3 0.500 0.000 0.000
Tl4 0.500 0.500 0.500
Te1 0.238 0.238 0.733
Te2 0.238 0.733 0.238
Te3 0.262 0.262 0.262
Te4 0.267 0.762 0.762
Te5 0.733 0.238 0.238
Te6 0.738 0.738 0.738
Te7 0.762 0.267 0.762
Te8 0.762 0.762 0.267

***

A plane-wave DFT calculation with GGA-PBE was carried out for a relaxed structure of LiNpTlTe3.

## Properties
Raw formation energy, eV per atom: -0.627

a b c (Å): 9.481 4.465 9.984
angles (deg): 90.00 105.69 90.00
Fractional positions:
Li1 0.080 0.250 0.093
Li2 0.920 0.750 0.907
Np1 0.324 0.750 0.344
Np2 0.676 0.250 0.656
Tl1 0.195 0.250 0.748
Tl2 0.805 0.750 0.252
Te1 0.117 0.250 0.378
Te2 0.223 0.750 0.034
Te3 0.454 0.750 0.663
Te4 0.546 0.250 0.337
Te5 0.777 0.250 0.966
Te6 0.883 0.750 0.622

***

A plane-wave DFT calculation with GGA-PBE was carried out for a relaxed structure of LiNp2Tl3Te6.

## Properties
Raw formation energy, eV per atom: -0.565

a b c (Å): 7.662 7.662 8.503
angles (deg): 98.55 98.55 119.99
Fractional positions:
Li1 0.000 0.000 0.000
Np1 0.333 0.667 0.000
Np2 0.667 0.333 0.000
Tl1 0.164 0.836 0.500
Tl2 0.500 0.500 0.500
Tl3 0.836 0.164 0.500
Te1 0.071 0.413 0.212
Te2 0.271 0.271 0.794
Te3 0.413 0.071 0.212
Te4 0.587 0.929 0.788
Te5 0.729 0.729 0.206
Te6 0.929 0.587 0.788

***

A plane-wave DFT calculation with GGA-PBE was carried out for a relaxed structure of Li3Tm3NpTe8.

## Properties
Raw formation energy, eV per atom: -1.119

a b c (Å): 8.625 8.625 8.640
angles (deg): 119.98 119.98 60.01
Fractional positions:
Li1 0.000 0.000 0.000
Li2 0.000 0.500 0.000
Li3 0.500 0.000 0.000
Tm1 0.000 0.500 0.500
Tm2 0.500 0.000 0.500
Tm3 0.500 0.500 0.500
Np1 0.000 0.000 0.500
Te1 0.249 0.249 0.248
Te2 0.252 0.252 0.751
Te3 0.252 0.748 0.249
Te4 0.252 0.748 0.751
Te5 0.748 0.252 0.249
Te6 0.748 0.252 0.751
Te7 0.748 0.748 0.249
Te8 0.751 0.751 0.752

***

A plane-wave DFT calculation with GGA-PBE was carried out for a relaxed structure of LiTm3Np3Te8.

## Properties
Raw formation energy, eV per atom: -0.934

a b c (Å): 8.680 8.680 8.681
angles (deg): 119.96 119.96 59.97
Fractional positions:
Li1 0.000 0.000 0.000
Tm1 0.000 0.000 0.500
Tm2 0.000 0.500 0.500
Tm3 0.500 0.000 0.500
Np1 0.000 0.500 0.000
Np2 0.500 0.000 0.000
Np3 0.500 0.500 0.000
Te1 0.243 0.750 0.744
Te2 0.247 0.247 0.742
Te3 0.250 0.250 0.255
Te4 0.250 0.757 0.256
Te5 0.750 0.243 0.744
Te6 0.750 0.750 0.745
Te7 0.753 0.753 0.258
Te8 0.757 0.250 0.256

***

A plane-wave DFT calculation with GGA-PBE was carried out for a relaxed structure of LiTmNp2Te4.

## Properties
Raw formation energy, eV per atom: -0.869

a b c (Å): 7.510 4.331 7.560
angles (deg): 90.00 109.26 90.00
Fractional positions:
Li1 0.000 0.000 0.000
Tm1 0.500 0.500 0.000
Np1 0.000 0.500 0.500
Np2 0.500 0.000 0.500
Te1 0.243 0.500 0.236
Te2 0.250 0.000 0.761
Te3 0.750 0.000 0.239
Te4 0.757 0.500 0.764

***

A plane-wave DFT calculation with GGA-PBE was carried out for a relaxed structure of Li4Tm3NpTe8.

## Properties
Raw formation energy, eV per atom: -1.141

a b c (Å): 8.636 8.636 8.636
angles (deg): 60.18 60.18 60.18
Fractional positions:
Li1 0.000 0.000 0.000
Li2 0.000 0.500 0.500
Li3 0.500 0.000 0.500
Li4 0.500 0.500 0.000
Tm1 0.000 0.000 0.500
Tm2 0.000 0.500 0.000
Tm3 0.500 0.000 0.000
Np1 0.500 0.500 0.500
Te1 0.245 0.245 0.755
Te2 0.245 0.755 0.245
Te3 0.245 0.755 0.755
Te4 0.251 0.251 0.251
Te5 0.749 0.749 0.749
Te6 0.755 0.245 0.245
Te7 0.755 0.245 0.755
Te8 0.755 0.755 0.245

***

A plane-wave DFT calculation with GGA-PBE was carried out for a relaxed structure of Li3Tm2NpTe6.

## Properties
Raw formation energy, eV per atom: -1.100

a b c (Å): 7.512 7.512 7.473
angles (deg): 99.62 99.62 119.88
Fractional positions:
Li1 0.000 0.000 0.000
Li2 0.333 0.667 0.000
Li3 0.667 0.333 0.000
Tm1 0.166 0.834 0.500
Tm2 0.834 0.166 0.500
Np1 0.500 0.500 0.500
Te1 0.074 0.415 0.245
Te2 0.244 0.244 0.756
Te3 0.415 0.074 0.245
Te4 0.585 0.926 0.755
Te5 0.756 0.756 0.244
Te6 0.926 0.585 0.755

***

A plane-wave DFT calculation with GGA-PBE was carried out for a relaxed structure of Li4NpU3Te8.

## Properties
Raw formation energy, eV per atom: -0.743

a b c (Å): 8.675 8.675 8.716
angles (deg): 119.86 119.86 60.01
Fractional positions:
Li1 0.000 0.000 0.000
Li2 0.000 0.500 0.000
Li3 0.500 0.000 0.000
Li4 0.500 0.500 0.000
Np1 0.000 0.000 0.500
U1 0.000 0.500 0.500
U2 0.500 0.000 0.500
U3 0.500 0.500 0.500
Te1 0.246 0.246 0.238
Te2 0.248 0.746 0.239
Te3 0.254 0.254 0.760
Te4 0.254 0.752 0.761
Te5 0.746 0.248 0.239
Te6 0.746 0.746 0.240
Te7 0.752 0.254 0.761
Te8 0.754 0.754 0.762

***

A plane-wave DFT calculation with GGA-PBE was carried out for a relaxed structure of Li3Np2UTe6.

## Properties
Raw formation energy, eV per atom: -0.783

a b c (Å): 7.517 7.517 7.525
angles (deg): 99.58 99.58 120.00
Fractional positions:
Li1 0.000 0.000 0.000
Li2 0.333 0.667 0.000
Li3 0.667 0.333 0.000
Np1 0.167 0.833 0.500
Np2 0.833 0.167 0.500
U1 0.500 0.500 0.500
Te1 0.082 0.413 0.240
Te2 0.255 0.255 0.759
Te3 0.413 0.082 0.240
Te4 0.587 0.918 0.760
Te5 0.745 0.745 0.241
Te6 0.918 0.587 0.760

***

A plane-wave DFT calculation with GGA-PBE was carried out for a relaxed structure of Li2NpUTe4.

## Properties
Raw formation energy, eV per atom: -0.747

a b c (Å): 7.517 4.363 7.626
angles (deg): 90.00 110.02 90.00
Fractional positions:
Li1 0.000 0.000 0.000
Li2 0.000 0.500 0.500
Np1 0.500 0.000 0.500
U1 0.500 0.500 0.000
Te1 0.240 0.000 0.748
Te2 0.240 0.500 0.244
Te3 0.760 0.000 0.252
Te4 0.760 0.500 0.756

***

A plane-wave DFT calculation with GGA-PBE was carried out for a relaxed structure of LiNp2UTe5.

## Properties
Raw formation energy, eV per atom: -0.634

a b c (Å): 9.489 9.489 13.214
angles (deg): 90.00 90.00 153.60
Fractional positions:
Li1 0.056 0.944 0.500
Li2 0.944 0.056 0.000
Np1 0.376 0.624 0.349
Np2 0.390 0.610 0.725
Np3 0.610 0.390 0.225
Np4 0.624 0.376 0.849
U1 0.299 0.701 0.052
U2 0.701 0.299 0.552
Te1 0.002 0.998 0.818
Te2 0.133 0.867 0.043
Te3 0.188 0.812 0.387
Te4 0.213 0.787 0.715
Te5 0.453 0.547 0.114
Te6 0.547 0.453 0.614
Te7 0.787 0.213 0.215
Te8 0.812 0.188 0.887
Te9 0.867 0.133 0.543
Te10 0.998 0.002 0.318

***

A plane-wave DFT calculation with GGA-PBE was carried out for a relaxed structure of Li3NpU3Te8.

## Properties
Raw formation energy, eV per atom: -0.710

a b c (Å): 8.692 8.692 8.698
angles (deg): 119.50 119.50 60.01
Fractional positions:
Li1 0.000 0.000 0.000
Li2 0.000 0.500 0.500
Li3 0.500 0.000 0.500
Np1 0.000 0.000 0.500
U1 0.000 0.500 0.000
U2 0.500 0.000 0.000
U3 0.500 0.500 0.500
Te1 0.246 0.246 0.254
Te2 0.251 0.746 0.754
Te3 0.254 0.254 0.751
Te4 0.254 0.749 0.246
Te5 0.746 0.251 0.754
Te6 0.746 0.746 0.249
Te7 0.749 0.254 0.246
Te8 0.754 0.754 0.746

***

A plane-wave DFT calculation with GGA-PBE was carried out for a relaxed structure of LiNpU2Te4.

## Properties
Raw formation energy, eV per atom: -0.623

a b c (Å): 7.408 4.266 7.763
angles (deg): 90.00 108.45 90.00
Fractional positions:
Li1 0.000 0.000 0.000
Np1 0.500 0.500 0.000
U1 0.000 0.500 0.500
U2 0.500 0.000 0.500
Te1 0.239 0.500 0.240
Te2 0.244 0.000 0.757
Te3 0.756 0.000 0.243
Te4 0.761 0.500 0.760

***

A plane-wave DFT calculation with GGA-PBE was carried out for a relaxed structure of LiY2NpTe4.

## Properties
Raw formation energy, eV per atom: -1.118

a b c (Å): 7.563 4.346 7.571
angles (deg): 90.00 109.47 90.00
Fractional positions:
Li1 0.000 0.000 0.000
Y1 0.500 0.000 0.500
Y2 0.500 0.500 0.000
Np1 0.000 0.500 0.500
Te1 0.245 0.500 0.241
Te2 0.248 0.000 0.756
Te3 0.752 0.000 0.244
Te4 0.755 0.500 0.759